This record from Alexandria describes crystalline Tm5ScBi6 at its relaxed geometry. The functional is GGA-PBE.

## Properties
ρ   9.80 Mg/m³
E_form   -0.76 eV per atom
Total moment   0.00 μB per atom
DOS at the Fermi energy   0.181 states/eV/atom
SG   C2/m
Crystal system   monoclinic

a = 7.6341 Å, b = 7.6352 Å, c = 7.6340 Å
α = 59.99°, β = 80.40°, γ = 70.52°
Element x y z (fractional)
Tm 0.5000 0.5000 0.0000
Tm 0.0000 0.6656 0.6687
Tm 0.5000 0.8305 0.3390
Tm 0.5000 0.1695 0.6610
Tm 0.0000 0.3344 0.3313
Bi 0.2453 0.5913 0.3273
Bi 0.7547 0.0814 0.3273
Bi 0.2453 0.9186 0.6727
Bi 0.7547 0.4087 0.6727
Bi 0.7516 0.7561 0.0000
Bi 0.2484 0.2439 0.0000
Sc 0.0000 0.0000 0.0000

---

This record from Alexandria describes crystalline BaCa2Mg3 at its relaxed geometry. The functional is GGA-PBE.

## Properties
ρ   2.34 Mg/m³
E_form   -0.06 eV per atom
Total moment   0.00 μB per atom
DOS at the Fermi energy   0.979 states/eV/atom
SG   P4/mmm
Crystal system   tetragonal

a = 4.1005 Å, b = 4.1005 Å, c = 12.2681 Å
α = 90.00°, β = 90.00°, γ = 90.00°
Element x y z (fractional)
Mg 0.0000 0.0000 0.6984
Mg 0.0000 0.0000 0.3016
Mg 0.0000 0.0000 0.0000
Ca 0.5000 0.5000 0.8468
Ca 0.5000 0.5000 0.1532
Ba 0.5000 0.5000 0.5000

---

This record from Alexandria describes crystalline YGe3Ir2 at its relaxed geometry. The functional is GGA-PBE.

## Properties
ρ   10.55 Mg/m³
E_form   -0.53 eV per atom
Total moment   0.00 μB per atom
DOS at the Fermi energy   0.441 states/eV/atom
SG   C2/m
Crystal system   monoclinic

a = 4.0587 Å, b = 7.3585 Å, c = 8.7568 Å
α = 120.25°, β = 103.40°, γ = 90.00°
Element x y z (fractional)
Ir 0.2116 0.7114 0.4233
Ir 0.7884 0.2886 0.5767
Ir 0.4910 0.8047 0.9820
Ir 0.5090 0.1953 0.0180
Ge 0.6824 0.4630 0.3647
Ge 0.3348 0.1400 0.6696
Ge 0.0448 0.4162 0.0896
Ge 0.9552 0.5838 0.9104
Ge 0.3176 0.5370 0.6353
Ge 0.6652 0.8600 0.3304
Y 0.8737 0.9024 0.7475
Y 0.1263 0.0976 0.2525

---

This record from Alexandria describes crystalline ReSiGeS2 at its relaxed geometry. The functional is GGA-PBE.

## Properties
ρ   5.60 Mg/m³
Total moment   0.00 μB per atom
DOS at the Fermi energy   1.051 states/eV/atom
E_tot   -5.55 eV/atom
SG   P4/mmm
Crystal system   tetragonal

a = 4.5172 Å, b = 5.0987 Å, c = 4.5172 Å
α = 90.00°, β = 90.00°, γ = 90.00°
Element x y z (fractional)
Si 0.0000 0.5000 0.0000
S 0.0000 0.0000 0.5000
S 0.5000 0.0000 0.0000
Re 0.0000 0.0000 0.0000
Ge 0.5000 0.5000 0.5000

---

This record from Alexandria describes crystalline Tb2Pm7Y3 at its relaxed geometry. The functional is GGA-PBE.

## Properties
Excess energy over the best structure of this formula in the dataset   0.191 eV/atom
ρ   6.28 Mg/m³
E_form   0.27 eV per atom
Total moment   0.00 μB per atom
DOS at the Fermi energy   1.585 states/eV/atom
SG   R-3m
Crystal system   trigonal

a = 6.6187 Å, b = 6.6187 Å, c = 11.7917 Å
α = 73.70°, β = 73.70°, γ = 60.00°
Element x y z (fractional)
Y 0.0000 0.0000 0.0000
Y 0.8493 0.8493 0.4520
Y 0.1507 0.1507 0.5480
Pm 0.4115 0.9227 0.2544
Pm 0.5885 0.0773 0.7456
Pm 0.5885 0.5885 0.7456
Pm 0.9227 0.4115 0.2544
Pm 0.5000 0.5000 0.5000
Pm 0.0773 0.5885 0.7456
Pm 0.4115 0.4115 0.2544
Tb 0.6655 0.6655 0.0036
Tb 0.3345 0.3345 0.9964

---

This record from Alexandria describes crystalline NdHo3Sc5 at its relaxed geometry. The functional is GGA-PBE.

## Properties
ρ   5.79 Mg/m³
E_form   0.29 eV per atom
Total moment   0.00 μB per atom
DOS at the Fermi energy   1.083 states/eV/atom
SG   I4/mcm
Crystal system   tetragonal

a = 8.2923 Å, b = 8.2923 Å, c = 9.2896 Å
α = 116.51°, β = 116.51°, γ = 90.00°
Element x y z (fractional)
Sc 0.9314 0.4314 0.2695
Sc 0.0000 0.0000 0.0000
Sc 0.6618 0.1618 0.7305
Sc 0.0686 0.5686 0.7305
Sc 0.3382 0.8382 0.2695
Sc 0.4314 0.3382 0.2695
Sc 0.8382 0.9314 0.2695
Sc 0.1618 0.0686 0.7305
Sc 0.5000 0.5000 0.0000
Sc 0.5686 0.6618 0.7305
Ho 0.1207 0.3793 0.0000
Ho 0.3793 0.8793 0.0000
Ho 0.7500 0.7500 0.5000
Ho 0.8793 0.6207 0.0000
Ho 0.2500 0.2500 0.5000
Ho 0.6207 0.1207 0.0000
Nd 0.2500 0.7500 0.5000
Nd 0.7500 0.2500 0.5000

---

This record from Alexandria describes crystalline Hf5Tc3Ir12 at its relaxed geometry. The functional is GGA-PBE.

## Properties
ρ   13.99 Mg/m³
E_form   0.45 eV per atom
Total moment   0.00 μB per atom
DOS at the Fermi energy   0.839 states/eV/atom
SG   Ia-3d
Crystal system   cubic

a = 12.9154 Å, b = 12.9154 Å, c = 12.9154 Å
α = 109.47°, β = 109.47°, γ = 109.47°
Element x y z (fractional)
Ir 0.6622 0.4256 0.5662
Ir 0.5960 0.7366 0.6622
Ir 0.3594 0.4338 0.0960
Ir 0.4338 0.0744 0.3378
Ir 0.0744 0.4338 0.8378
Ir 0.4256 0.6622 0.0662
Ir 0.6406 0.0744 0.2366
Ir 0.4040 0.1406 0.5662
Ir 0.6622 0.2366 0.5960
Ir 0.3378 0.5744 0.4338
Ir 0.2634 0.4040 0.8378
Ir 0.5960 0.8594 0.4338
Ir 0.1622 0.0960 0.7366
Ir 0.4040 0.2634 0.3378
Ir 0.9338 0.0960 0.8594
Ir 0.0744 0.6406 0.7366
Ir 0.8594 0.2634 0.4256
Ir 0.3378 0.7634 0.4040
Ir 0.2366 0.6622 0.0960
Ir 0.3594 0.9256 0.7634
Ir 0.6406 0.5662 0.9040
Ir 0.9338 0.8378 0.5744
Ir 0.5662 0.6406 0.4040
Ir 0.8378 0.9338 0.0744
Ir 0.9040 0.8378 0.7634
Ir 0.9256 0.5662 0.1622
Ir 0.0662 0.1622 0.4256
Ir 0.5662 0.9256 0.6622
Ir 0.2366 0.5744 0.6406
Ir 0.4256 0.7634 0.8594
Ir 0.7634 0.3378 0.9040
Ir 0.7634 0.4256 0.3594
Ir 0.8378 0.9040 0.2634
Ir 0.1406 0.7366 0.5744
Ir 0.5744 0.2366 0.1406
Ir 0.1622 0.0662 0.9256
Ir 0.4338 0.3594 0.5960
Ir 0.9040 0.0662 0.6406
Ir 0.7366 0.5960 0.1622
Ir 0.0662 0.9040 0.1406
Ir 0.2634 0.8594 0.9256
Ir 0.0960 0.1622 0.2366
Ir 0.1406 0.4040 0.0662
Ir 0.5744 0.3378 0.9338
Ir 0.7366 0.1406 0.0744
Ir 0.9256 0.3594 0.2634
Ir 0.8594 0.5960 0.9338
Ir 0.0960 0.9338 0.3594
Hf 0.1250 0.7500 0.3750
Hf 0.8750 0.2500 0.6250
Hf 0.1250 0.3750 0.2500
Hf 0.3750 0.1250 0.7500
Hf 0.3750 0.2500 0.1250
Hf 0.5000 0.5000 0.5000
Hf 0.2500 0.3750 0.6250
Hf 0.8750 0.6250 0.7500
Hf 0.0000 0.0000 0.0000
Hf 0.0000 0.5000 0.0000
Hf 0.5000 0.0000 0.5000
Hf 0.6250 0.7500 0.8750
Hf 0.7500 0.1250 0.8750
Hf 0.5000 0.0000 0.0000
Hf 0.7500 0.6250 0.3750
Hf 0.0000 0.5000 0.5000
Hf 0.5000 0.5000 0.0000
Hf 0.2500 0.8750 0.1250
Hf 0.0000 0.0000 0.5000
Hf 0.6250 0.8750 0.2500
Tc 0.3750 0.7500 0.6250
Tc 0.3750 0.6250 0.2500
Tc 0.6250 0.2500 0.3750
Tc 0.1250 0.2500 0.8750
Tc 0.8750 0.7500 0.1250
Tc 0.8750 0.1250 0.2500
Tc 0.7500 0.8750 0.6250
Tc 0.7500 0.3750 0.1250
Tc 0.1250 0.8750 0.7500
Tc 0.2500 0.1250 0.3750
Tc 0.6250 0.3750 0.7500
Tc 0.2500 0.6250 0.8750

---

This record from Alexandria describes crystalline K2NaHg3Bi4 at its relaxed geometry. The functional is GGA-PBE.

## Properties
ρ   7.53 Mg/m³
E_form   -0.21 eV per atom
Total moment   0.00 μB per atom
DOS at the Fermi energy   0.278 states/eV/atom
SG   P-4m2
Crystal system   tetragonal

a = 5.1097 Å, b = 5.1097 Å, c = 13.0028 Å
α = 90.00°, β = 90.00°, γ = 90.00°
Element x y z (fractional)
Bi 0.5000 0.0000 0.6364
Bi 0.5000 0.5000 0.0000
Bi 0.0000 0.0000 0.0000
Bi 0.0000 0.5000 0.3636
Hg 0.0000 0.5000 0.1422
Hg 0.0000 0.0000 0.5000
Hg 0.5000 0.0000 0.8578
K 0.0000 0.5000 0.7476
K 0.5000 0.0000 0.2524
Na 0.5000 0.5000 0.5000

---

This record from Alexandria describes crystalline LiPRu at its relaxed geometry. The functional is GGA-PBE.

## Properties
ρ   5.15 Mg/m³
E_form   -0.59 eV per atom
Total moment   0.00 μB per atom
DOS at the Fermi energy   0.137 states/eV/atom
SG   R-3m
Crystal system   trigonal

a = 3.9114 Å, b = 3.9114 Å, c = 20.2889 Å
α = 90.00°, β = 90.00°, γ = 120.00°
Element x y z (fractional)
Ru 0.3333 0.6667 0.2878
Ru 0.0000 0.0000 0.6211
Ru 0.0000 0.0000 0.3789
Ru 0.6667 0.3333 0.7122
Ru 0.6667 0.3333 0.9544
Ru 0.3333 0.6667 0.0456
P 0.0000 0.0000 0.7365
P 0.3333 0.6667 0.9302
P 0.6667 0.3333 0.5968
P 0.6667 0.3333 0.0698
P 0.3333 0.6667 0.4032
P 0.0000 0.0000 0.2635
Li 0.6667 0.3333 0.4593
Li 0.0000 0.0000 0.8740
Li 0.6667 0.3333 0.2073
Li 0.3333 0.6667 0.7927
Li 0.0000 0.0000 0.1260
Li 0.3333 0.6667 0.5407

---

This record from Alexandria describes crystalline AcCd2Ga at its relaxed geometry. The functional is GGA-PBE.

## Properties
Excess energy over the best structure of this formula in the dataset   0.189 eV/atom
ρ   8.03 Mg/m³
E_form   -0.19 eV per atom
Total moment   0.00 μB per atom
DOS at the Fermi energy   0.460 states/eV/atom
SG   Fm-3m
Crystal system   cubic

a = 5.3433 Å, b = 5.3433 Å, c = 5.3433 Å
α = 60.00°, β = 60.00°, γ = 60.00°
Element x y z (fractional)
Ac 0.0000 0.0000 0.0000
Cd 0.7500 0.7500 0.7500
Cd 0.2500 0.2500 0.2500
Ga 0.5000 0.5000 0.5000

---

This record from Alexandria describes crystalline HfAlAg at its relaxed geometry. The functional is GGA-PBE.

## Properties
ρ   9.29 Mg/m³
E_form   -0.16 eV per atom
Total moment   0.00 μB per atom
DOS at the Fermi energy   0.746 states/eV/atom
SG   Cmmm
Crystal system   orthorhombic

a = 4.3162 Å, b = 6.8977 Å, c = 3.9242 Å
α = 106.59°, β = 90.00°, γ = 90.00°
Element x y z (fractional)
Ag 0.0595 0.3079 0.7575
Ag 0.5595 0.3078 0.2575
Hf 0.0597 0.9763 0.0919
Hf 0.0597 0.6394 0.4228
Al 0.5598 0.9651 0.5866
Al 0.5598 0.6506 0.9281

---

This record from Alexandria describes crystalline Pm4Ho3Pb4 at its relaxed geometry. The functional is GGA-PBE.

## Properties
ρ   9.37 Mg/m³
E_form   -0.38 eV per atom
Total moment   0.00 μB per atom
DOS at the Fermi energy   0.866 states/eV/atom
SG   Immm
Crystal system   orthorhombic

a = 3.5794 Å, b = 9.7329 Å, c = 10.9801 Å
α = 116.31°, β = 99.38°, γ = 90.00°
Element x y z (fractional)
Pm 0.6612 0.4840 0.3223
Pm 0.3388 0.5160 0.6777
Pm 0.3388 0.1617 0.6777
Pm 0.6612 0.8383 0.3223
Pb 0.5000 0.2199 0.0000
Pb 0.2751 0.7751 0.5501
Pb 0.7249 0.2249 0.4499
Pb 0.5000 0.7801 0.0000
Ho 0.0000 0.5000 0.0000
Ho 0.0914 0.0914 0.1828
Ho 0.9086 0.9086 0.8172

---

This record from Alexandria describes crystalline K2MgZn at its relaxed geometry. The functional is GGA-PBE.

## Properties
Excess energy over the best structure of this formula in the dataset   0.136 eV/atom
ρ   1.79 Mg/m³
E_form   0.25 eV per atom
Total moment   0.00 μB per atom
DOS at the Fermi energy   0.536 states/eV/atom
SG   I4/mmm
Crystal system   tetragonal

a = 6.4689 Å, b = 6.4689 Å, c = 6.4689 Å
α = 129.82°, β = 129.82°, γ = 73.70°
Element x y z (fractional)
Zn 0.7500 0.2500 0.5000
K 0.5000 0.5000 0.0000
K 0.0000 0.0000 0.0000
Mg 0.2500 0.7500 0.5000

---

This record from Alexandria describes crystalline Cr2MoRu at its relaxed geometry. The functional is GGA-PBE.

## Properties
ρ   9.27 Mg/m³
E_form   0.19 eV per atom
Total moment   0.00 μB per atom
DOS at the Fermi energy   1.389 states/eV/atom
SG   C2/m
Crystal system   monoclinic

a = 4.9692 Å, b = 4.9162 Å, c = 2.6415 Å
α = 79.51°, β = 80.15°, γ = 117.35°
Element x y z (fractional)
Ru 0.5000 0.5000 0.0000
Mo 0.0000 0.5000 0.5000
Cr 0.0000 0.0000 0.0000
Cr 0.5000 0.0000 0.5000

---

This record from Alexandria describes crystalline La2AsO at its relaxed geometry. The functional is GGA-PBE.

## Properties
Excess energy over the best structure of this formula in the dataset   0.032 eV/atom
ρ   6.12 Mg/m³
Total moment   0.00 μB per atom
DOS at the Fermi energy   0.365 states/eV/atom
SG   P2/c
Crystal system   monoclinic

a = 5.9911 Å, b = 5.9999 Å, c = 11.1402 Å
α = 91.98°, β = 90.00°, γ = 90.00°
Element x y z (fractional)
O 0.1820 0.9356 0.8771
O 0.1820 0.5644 0.6229
O 0.8180 0.0644 0.1229
O 0.8180 0.4356 0.3771
La 0.7659 0.4627 0.1411
La 0.7659 0.0373 0.3589
La 0.7802 0.5045 0.6083
La 0.2341 0.5373 0.8589
La 0.7802 0.9955 0.8917
La 0.2341 0.9627 0.6411
La 0.2198 0.0045 0.1083
La 0.2198 0.4955 0.3917
As 0.2629 0.5025 0.1251
As 0.2629 0.9975 0.3749
As 0.7371 0.0025 0.6251
As 0.7371 0.4975 0.8749

---

This record from Alexandria describes crystalline Li5Pr2Zn12 at its relaxed geometry. The functional is GGA-PBE.

## Properties
ρ   5.74 Mg/m³
E_form   -0.25 eV per atom
Total moment   0.00 μB per atom
DOS at the Fermi energy   0.470 states/eV/atom
SG   R-3m
Crystal system   trigonal

a = 6.8798 Å, b = 6.8798 Å, c = 6.8798 Å
α = 82.91°, β = 82.91°, γ = 82.91°
Element x y z (fractional)
Pr 0.3451 0.3451 0.3451
Pr 0.6549 0.6549 0.6549
Li 0.9040 0.9040 0.9040
Li 0.5000 0.0000 0.0000
Li 0.0960 0.0960 0.0960
Li 0.0000 0.5000 0.0000
Li 0.0000 0.0000 0.5000
Zn 0.8462 0.3475 0.3475
Zn 0.6525 0.6525 0.1538
Zn 0.2929 0.7071 0.0000
Zn 0.3475 0.3475 0.8462
Zn 0.7071 0.2929 0.0000
Zn 0.2929 0.0000 0.7071
Zn 0.1538 0.6525 0.6525
Zn 0.0000 0.2929 0.7071
Zn 0.3475 0.8462 0.3475
Zn 0.0000 0.7071 0.2929
Zn 0.6525 0.1538 0.6525
Zn 0.7071 0.0000 0.2929

---

This record from Alexandria describes crystalline Ni2Bi5 at its relaxed geometry. The functional is GGA-PBE.

## Properties
ρ   11.17 Mg/m³
E_form   0.08 eV per atom
Total moment   0.00 μB per atom
DOS at the Fermi energy   0.581 states/eV/atom
SG   C2/c
Crystal system   monoclinic

a = 6.7532 Å, b = 6.6824 Å, c = 8.4669 Å
α = 98.82°, β = 113.50°, γ = 90.00°
Element x y z (fractional)
Ni 0.3789 0.0786 0.2201
Ni 0.8412 0.5786 0.2201
Ni 0.6211 0.9214 0.7799
Ni 0.1588 0.4214 0.7799
Bi 0.7985 0.5543 0.8122
Bi 0.2015 0.4457 0.1878
Bi 0.8144 0.2889 0.4258
Bi 0.5536 0.2500 0.0000
Bi 0.0138 0.0543 0.8122
Bi 0.4464 0.7500 0.0000
Bi 0.6114 0.7889 0.4258
Bi 0.9862 0.9457 0.1878
Bi 0.1856 0.7111 0.5742
Bi 0.3886 0.2111 0.5742